Material: La12CeDy6
Method: DFT, PBE
State: relaxed

Output
Its crystal system is trigonal. As for the energy of formation from the pure elements: 0.0370 eV per atom. The space-group type is R-3.

```
La12CeDy6
1.0
-3.692 3.087 8.437
0.198 -9.704 -0.353
8.858 3.703 -1.469
Dy La Ce
6 12 1
Cartesian
4.250 -3.457 3.195
1.114 0.542 3.420
4.542 -0.130 4.424
0.822 -2.785 2.191
1.934 -2.242 5.608
3.430 -0.673 1.006
-1.335 1.864 5.981
4.881 3.409 5.715
6.699 -4.778 0.633
3.775 2.740 2.268
6.209 1.549 -0.275
-0.845 -4.464 6.890
0.482 -6.324 0.900
6.924 -1.305 1.937
2.164 1.158 6.882
1.589 -5.654 4.347
3.200 -4.073 -0.268
-1.560 -1.609 4.677
0.000 0.000 0.000
```

Material: HoTmFe
Method: DFT, PBE
State: relaxed

Output
Its crystal system is orthorhombic. As for the energy of formation from the pure elements: 0.0305 eV per atom. The space-group type is Cmce.

```
HoTmFe
1.0
6.722 0.000 0.000
-3.361 5.893 0.000
0.000 0.000 7.254
Tm Fe Ho
4 4 4
Cartesian
5.042 0.527 1.814
1.681 5.366 5.441
-1.681 5.366 5.441
1.681 0.527 1.814
0.000 4.803 3.308
0.000 1.090 6.935
3.361 4.803 0.319
3.361 1.090 3.946
0.000 2.324 4.451
0.000 3.569 0.824
3.361 2.324 6.430
3.361 3.569 2.803
```

Material: Nd2LuAu
Method: DFT, PBE
State: relaxed

Output
Its crystal system is tetragonal. As for the energy of formation from the pure elements: -0.3316 eV per atom. The space-group type is P4/mmm.

```
Nd2LuAu
1.0
-2.859 -0.594 2.354
-0.184 -3.573 -1.125
5.356 -2.153 5.962
Au Lu Nd
1 1 2
Cartesian
-1.522 -2.083 0.614
1.156 -3.160 3.595
4.194 -1.686 4.669
1.162 -0.467 1.293
```

Material: Ag2Au2F7
Method: DFT, PBE
State: relaxed

Output
Its crystal system is monoclinic. The space-group type is P2_1/c. The calculation puts the uncorrected formation energy at -0.97 eV/atom.

```
Ag2Au2F7
1.0
5.698 -0.117 0.000
-1.115 5.951 0.000
0.000 0.000 11.523
F Ag Au
14 4 4
Cartesian
0.343 0.566 8.525
1.368 4.307 2.865
-0.215 3.541 8.759
1.926 1.331 2.897
0.000 0.000 5.761
3.214 1.527 8.658
2.657 4.503 8.626
2.021 1.304 0.136
2.561 4.530 11.387
-0.558 2.976 0.000
4.240 5.268 2.998
1.464 4.280 5.625
4.797 2.293 2.764
3.119 1.554 5.898
1.448 2.692 7.408
3.135 3.142 4.114
3.692 0.166 1.647
0.890 5.668 9.876
0.044 4.977 4.315
0.602 2.001 1.446
4.539 0.857 7.207
3.981 3.833 10.077
```

Material: Ba2CdHg6Bi
Method: DFT, PBE
State: relaxed

Output
Its crystal system is cubic. As for the energy of formation from the pure elements: -0.1196 eV per atom. The space-group type is Fm-3m.

```
Ba2CdHg6Bi
1.0
8.057 0.000 0.000
0.001 8.057 0.000
4.029 4.028 5.697
Cd Hg Ba Bi
1 6 2 1
Cartesian
4.029 4.028 0.000
5.982 5.982 0.000
2.076 5.982 0.000
5.982 2.075 0.000
8.058 8.057 2.935
4.029 4.028 2.762
2.075 2.075 0.000
4.029 8.057 2.849
8.057 4.028 2.849
0.000 0.000 0.000
```

Material: CaNiN
Method: DFT, PBE
State: relaxed

Output
Its crystal system is tetragonal. The space-group type is P4_2/mmc. The calculation puts the uncorrected formation energy at -0.68 eV/atom.

```
CaNiN
1.0
3.559 0.000 0.000
0.000 3.559 0.000
0.000 0.000 7.039
N Ca Ni
2 2 2
Cartesian
0.000 1.780 0.000
1.780 0.000 3.519
0.000 0.000 1.760
0.000 0.000 5.279
1.780 1.780 0.000
1.780 1.780 3.519
```

no.,magnetic moment (Bohr magnetons per cell)
1,1.70
2,2.94
3,0.00
4,1.30
5,0.00
6,0.00